a.
Crystalline Mn3NbPd at its relaxed geometry, computed with PBE.

Output
DOS(E_F) ... 12.7 states/eV/f.u.

The structure in CIF format:
```
data_Mn3NbPd
_chemical_formula_sum 'Mn3 Nb1 Pd1'
_symmetry_space_group_name_H-M 'P m -3 m'
_symmetry_Int_Tables_number 221
_symmetry_space_group_name_Hall '-P 4 2 3'
_cell_length_a 4.414
_cell_length_b 4.414
_cell_length_c 4.414
_cell_angle_alpha 90.00
_cell_angle_beta 90.00
_cell_angle_gamma 90.00
loop_
_atom_site_label
_atom_site_type_symbol
_atom_site_fract_x
_atom_site_fract_y
_atom_site_fract_z
_atom_site_occupancy
Mn1 Mn 0.000 0.000 0.500 1
Nb1 Nb 0.500 0.500 0.500 1
Pd1 Pd 0.000 0.000 0.000 1
```

=====

b.
Crystalline Mn3NbPd at its relaxed geometry, computed with PBE.

Output
DOS(E_F) ... 10.8 states/eV/f.u.

The structure in CIF format:
```
data_Mn3NbPd
_chemical_formula_sum 'Mn3 Nb1 Pd1'
_symmetry_space_group_name_H-M 'P m -3 m'
_symmetry_Int_Tables_number 221
_symmetry_space_group_name_Hall '-P 4 2 3'
_cell_length_a 4.423
_cell_length_b 4.423
_cell_length_c 4.423
_cell_angle_alpha 90.00
_cell_angle_beta 90.00
_cell_angle_gamma 90.00
loop_
_atom_site_label
_atom_site_type_symbol
_atom_site_fract_x
_atom_site_fract_y
_atom_site_fract_z
_atom_site_occupancy
Mn1 Mn 0.000 0.000 0.500 1
Nb1 Nb 0.000 0.000 0.000 1
Pd1 Pd 0.500 0.500 0.500 1
```

=====

Last place for stability: a

=====

a.
Crystalline MnNb2Pd at its relaxed geometry, computed with PBE.

Output
DOS(E_F) ... 3.2 states/eV/f.u.

The structure in CIF format:
```
data_MnNb2Pd
_chemical_formula_sum 'Mn1 Nb2 Pd1'
_symmetry_space_group_name_H-M 'P 4/m m m'
_symmetry_Int_Tables_number 123
_symmetry_space_group_name_Hall '-P 4 2'
_cell_length_a 2.927
_cell_length_b 2.927
_cell_length_c 7.319
_cell_angle_alpha 90.00
_cell_angle_beta 90.00
_cell_angle_gamma 90.00
loop_
_atom_site_label
_atom_site_type_symbol
_atom_site_fract_x
_atom_site_fract_y
_atom_site_fract_z
_atom_site_occupancy
Mn1 Mn 0.000 0.000 0.000 1
Nb1 Nb 0.500 0.500 0.220 1
Pd1 Pd 0.000 0.000 0.500 1
```

=====

b.
Crystalline MnNb2Pd at its relaxed geometry, computed with PBE.

Output
DOS(E_F) ... 4.6 states/eV/f.u.

The structure in CIF format:
```
data_MnNb2Pd
_chemical_formula_sum 'Mn1 Nb2 Pd1'
_symmetry_space_group_name_H-M 'P 4/m m m'
_symmetry_Int_Tables_number 123
_symmetry_space_group_name_Hall '-P 4 2'
_cell_length_a 4.520
_cell_length_b 4.520
_cell_length_c 3.105
_cell_angle_alpha 90.00
_cell_angle_beta 90.00
_cell_angle_gamma 90.00
loop_
_atom_site_label
_atom_site_type_symbol
_atom_site_fract_x
_atom_site_fract_y
_atom_site_fract_z
_atom_site_occupancy
Mn1 Mn 0.000 0.000 0.000 1
Nb1 Nb 0.000 0.500 0.500 1
Pd1 Pd 0.500 0.500 0.000 1
```

=====

c.
Crystalline MnNb2Pd at its relaxed geometry, computed with PBE.

Output
DOS(E_F) ... 4.4 states/eV/f.u.

The structure in CIF format:
```
data_MnNb2Pd
_chemical_formula_sum 'Mn4 Nb8 Pd4'
_symmetry_space_group_name_H-M 'I -4 2 d'
_symmetry_Int_Tables_number 122
_symmetry_space_group_name_Hall 'I -4 2bw'
_cell_length_a 7.096
_cell_length_b 7.096
_cell_length_c 5.366
_cell_angle_alpha 90.00
_cell_angle_beta 90.00
_cell_angle_gamma 90.00
loop_
_atom_site_label
_atom_site_type_symbol
_atom_site_fract_x
_atom_site_fract_y
_atom_site_fract_z
_atom_site_occupancy
Mn1 Mn 0.000 0.000 0.000 1
Nb1 Nb 0.234 0.250 0.125 1
Pd1 Pd 0.000 0.000 0.500 1
```

=====

Last place for stability: c

=====

a.
Crystalline MnNb3Pd at its relaxed geometry, computed with PBE.

Output
DOS(E_F) ... 6.4 states/eV/f.u.

The structure in CIF format:
```
data_MnNb3Pd
_chemical_formula_sum 'Mn1 Nb3 Pd1'
_symmetry_space_group_name_H-M 'P m -3 m'
_symmetry_Int_Tables_number 221
_symmetry_space_group_name_Hall '-P 4 2 3'
_cell_length_a 4.558
_cell_length_b 4.558
_cell_length_c 4.558
_cell_angle_alpha 90.00
_cell_angle_beta 90.00
_cell_angle_gamma 90.00
loop_
_atom_site_label
_atom_site_type_symbol
_atom_site_fract_x
_atom_site_fract_y
_atom_site_fract_z
_atom_site_occupancy
Mn1 Mn 0.000 0.000 0.000 1
Nb1 Nb 0.000 0.000 0.500 1
Pd1 Pd 0.500 0.500 0.500 1
```

=====

b.
Crystalline MnNb3Pd at its relaxed geometry, computed with PBE.

Output
DOS(E_F) ... 10.3 states/eV/f.u.

The structure in CIF format:
```
data_MnNb3Pd
_chemical_formula_sum 'Mn1 Nb3 Pd1'
_symmetry_space_group_name_H-M 'P m -3 m'
_symmetry_Int_Tables_number 221
_symmetry_space_group_name_Hall '-P 4 2 3'
_cell_length_a 4.799
_cell_length_b 4.799
_cell_length_c 4.799
_cell_angle_alpha 90.00
_cell_angle_beta 90.00
_cell_angle_gamma 90.00
loop_
_atom_site_label
_atom_site_type_symbol
_atom_site_fract_x
_atom_site_fract_y
_atom_site_fract_z
_atom_site_occupancy
Mn1 Mn 0.000 0.000 0.000 1
Nb1 Nb 0.000 0.500 0.500 1
Pd1 Pd 0.500 0.500 0.500 1
```

=====

Last place for stability: b

=====

a.
Crystalline MnNbPd at its relaxed geometry, computed with PBE.

Output
DOS(E_F) ... 2.8 states/eV/f.u.

The structure in CIF format:
```
data_MnNbPd
_chemical_formula_sum 'Mn6 Nb6 Pd6'
_symmetry_space_group_name_H-M 'P 1 21/m 1'
_symmetry_Int_Tables_number 11
_cell_length_a 6.368
_cell_length_b 3.790
_cell_length_c 11.894
_cell_angle_alpha 90.00
_cell_angle_beta 102.22
_cell_angle_gamma 90.00
loop_
_symmetry_equiv_pos_as_xyz
'x,y,z'
'-x,-y,-z'
'-x,y+1/2,-z'
'x,-y+1/2,z'
loop_
_atom_site_label
_atom_site_type_symbol
_atom_site_fract_x
_atom_site_fract_y
_atom_site_fract_z
_atom_site_occupancy
Mn1 Mn 0.037 0.250 0.195 1
Mn2 Mn 0.366 0.250 0.522 1
Mn3 Mn 0.416 0.750 0.918 1
Nb1 Nb 0.092 0.750 0.585 1
Nb2 Nb 0.150 0.250 0.968 1
Nb3 Nb 0.467 0.250 0.308 1
Pd1 Pd 0.191 0.750 0.359 1
Pd2 Pd 0.251 0.250 0.751 1
Pd3 Pd 0.309 0.750 0.140 1
```

=====

b.
Crystalline MnNbPd at its relaxed geometry, computed with PBE.

Output
DOS(E_F) ... 2.0 states/eV/f.u.

The structure in CIF format:
```
data_MnNbPd
_chemical_formula_sum 'Mn2 Nb2 Pd2'
_symmetry_space_group_name_H-M 'I 4 m m'
_symmetry_Int_Tables_number 107
_symmetry_space_group_name_Hall 'I 4 -2'
_cell_length_a 2.862
_cell_length_b 2.862
_cell_length_c 11.564
_cell_angle_alpha 90.00
_cell_angle_beta 90.00
_cell_angle_gamma 90.00
loop_
_atom_site_label
_atom_site_type_symbol
_atom_site_fract_x
_atom_site_fract_y
_atom_site_fract_z
_atom_site_occupancy
Mn1 Mn 0.000 0.000 0.000 1
Nb1 Nb 0.000 0.000 0.332 1
Pd1 Pd 0.000 0.000 0.655 1
```

=====

Last place for stability: a